Arrangement one

NaAsP2O after structural relaxation. Source: Alexandria, functional PBE-GGA.

The structure belongs to space group P4/mmm (No. 123); the cell edges are 4.920, 4.920 and 3.894 Å and the angles 90.00°, 90.00° and 90.00°. The inequivalent atoms are Na at (0.000, 0.000, 0.000), As at (0.500, 0.500, 0.500), P at (0.000, 0.500, 0.000) and O at (0.000, 0.000, 0.500).

Its crystal system is tetragonal. For the calculated density, the calculation gives 3098 kg/m³. The total moment is 0.253 μB per atom.



Arrangement two

NaAsP2O after structural relaxation. Source: Alexandria, functional PBE-GGA.

The structure belongs to space group P4/mmm (No. 123); the cell edges are 5.023, 5.023 and 3.680 Å and the angles 90.00°, 90.00° and 90.00°. The inequivalent atoms are Na at (0.000, 0.000, 0.000), As at (0.500, 0.500, 0.500), P at (0.000, 0.500, 0.500) and O at (0.500, 0.500, 0.000).

Its crystal system is tetragonal. For the calculated density, the calculation gives 3145 kg/m³. The total moment is 0.000 μB per atom.



Relative to the most stable one, in eV/atom, the structures come out at arrangement one 0.937; arrangement two 0.000.



Arrangement one

NaAs2SeO after structural relaxation. Source: Alexandria, functional PBE-GGA.

The structure belongs to space group P4/mmm (No. 123); the cell edges are 4.345, 4.345 and 5.024 Å and the angles 90.00°, 90.00° and 90.00°. The inequivalent atoms are Na at (0.000, 0.000, 0.000), As at (0.000, 0.500, 0.500), Se at (0.500, 0.500, 0.000) and O at (0.500, 0.500, 0.500).

Its crystal system is tetragonal. For the calculated density, the calculation gives 4688 kg/m³. The total moment is 0.000 μB per atom.



Arrangement two

NaAs2SeO after structural relaxation. Source: Alexandria, functional PBE-GGA.

The structure belongs to space group P4/mmm (No. 123); the cell edges are 5.034, 5.034 and 4.855 Å and the angles 90.00°, 90.00° and 90.00°. The inequivalent atoms are Na at (0.000, 0.000, 0.000), As at (0.000, 0.500, 0.000), Se at (0.000, 0.000, 0.500) and O at (0.500, 0.500, 0.500).

Its crystal system is tetragonal. For the calculated density, the calculation gives 3615 kg/m³. The total moment is 0.000 μB per atom.



Relative to the most stable one, in eV/atom, the structures come out at arrangement one 0.000; arrangement two 1.456.



Arrangement one

NaZnAsO4 after structural relaxation. Source: Alexandria, functional PBE-GGA.

The structure belongs to space group I-4 (No. 82); the cell edges are 5.125, 5.125 and 8.093 Å and the angles 90.00°, 90.00° and 90.00°. The inequivalent atoms are Na at (0.000, 0.000, 0.000), Zn at (0.000, 0.500, 0.750), As at (0.000, 0.000, 0.500) and O at (0.168, 0.226, 0.617).

Its crystal system is tetragonal. For the calculated density, the calculation gives 3552 kg/m³. The total moment is 0.000 μB per atom.



Arrangement two

NaZnAsO4 after structural relaxation. Source: Alexandria, functional PBE-GGA.

The structure belongs to space group P6_3 (No. 173); the cell edges are 9.1519, 9.1519 and 8.4361 Å and the angles 90.00°, 90.00° and 120.00°. The inequivalent atoms are Na at (0.0000, 0.0000, 0.0000), Na at (0.3333, 0.6667, 0.0054), Na at (0.3333, 0.6667, 0.5861), Zn at (0.0150, 0.6778, 0.7084), As at (0.0274, 0.6833, 0.3175), O at (0.0978, 0.2252, 0.8104), O at (0.0996, 0.5319, 0.7933), O at (0.1289, 0.7327, 0.4975) and O at (0.1848, 0.7711, 0.1758).

Its crystal system is hexagonal. For the calculated density, the calculation gives 3701 kg/m³. The total moment is 0.000 μB per atom.



Relative to the most stable one, in eV/atom, the structures come out at arrangement one 0.024; arrangement two 0.000.



Arrangement one

NaAs3Os after structural relaxation. Source: Alexandria, functional PBE-GGA.

The structure belongs to space group Pm-3m (No. 221); the cell edges are 4.901, 4.901 and 4.901 Å and the angles 90.00°, 90.00° and 90.00°. The inequivalent atoms are Na at (0.000, 0.000, 0.000), As at (0.000, 0.500, 0.500) and Os at (0.500, 0.500, 0.500).

Its crystal system is cubic. For the calculated density, the calculation gives 6177 kg/m³. The total moment is 0.000 μB per atom.



Arrangement two

NaAs3Os after structural relaxation. Source: Alexandria, functional PBE-GGA.

The structure belongs to space group Pm-3m (No. 221); the cell edges are 4.768, 4.768 and 4.768 Å and the angles 90.00°, 90.00° and 90.00°. The inequivalent atoms are Na at (0.000, 0.000, 0.000), As at (0.000, 0.000, 0.500) and Os at (0.500, 0.500, 0.500).

Its crystal system is cubic. For the calculated density, the calculation gives 6710 kg/m³. The total moment is 0.244 μB per atom.



Relative to the most stable one, in eV/atom, the structures come out at arrangement one 0.000; arrangement two 1.472.



Arrangement one

NaAs2OsSe after structural relaxation. Source: Alexandria, functional PBE-GGA.

The structure belongs to space group P4/mmm (No. 123); the cell edges are 4.668, 4.668 and 5.810 Å and the angles 90.00°, 90.00° and 90.00°. The inequivalent atoms are Na at (0.000, 0.000, 0.000), As at (0.000, 0.500, 0.500), Os at (0.500, 0.500, 0.500) and Se at (0.500, 0.500, 0.000).

Its crystal system is tetragonal. For the calculated density, the calculation gives 5797 kg/m³. The total moment is 0.000 μB per atom.



Arrangement two

NaAs2OsSe after structural relaxation. Source: Alexandria, functional PBE-GGA.

The structure belongs to space group P4/mmm (No. 123); the cell edges are 4.874, 4.874 and 4.817 Å and the angles 90.00°, 90.00° and 90.00°. The inequivalent atoms are Na at (0.000, 0.000, 0.000), As at (0.000, 0.500, 0.000), Os at (0.500, 0.500, 0.500) and Se at (0.000, 0.000, 0.500).

Its crystal system is tetragonal. For the calculated density, the calculation gives 6413 kg/m³. The total moment is 0.431 μB per atom.



Relative to the most stable one, in eV/atom, the structures come out at arrangement one 0.000; arrangement two 1.629.



Arrangement one

NaAsP after structural relaxation. Source: Alexandria, functional PBE-GGA.

The structure belongs to space group P3m1 (No. 156); the cell edges are 3.8505, 3.8505 and 5.5397 Å and the angles 90.00°, 90.00° and 120.00°. The inequivalent atoms are Na at (0.0000, 0.0000, 0.0000), As at (0.6667, 0.3333, 0.4294) and P at (0.3333, 0.6667, 0.6181).

Its crystal system is trigonal. For the calculated density, the calculation gives 3009 kg/m³. The total moment is 0.000 μB per atom.



Arrangement two

NaAsP after structural relaxation. Source: Alexandria, functional PBE-GGA.

The structure belongs to space group C2/m (No. 12); the cell edges are 11.839, 3.480 and 8.589 Å and the angles 90.00°, 127.03° and 90.00°. The inequivalent atoms are Na at (0.189, 0.000, 0.212), As at (0.049, 0.500, 0.786) and P at (0.065, 0.000, 0.446).

Its crystal system is monoclinic. For the calculated density, the calculation gives 3030 kg/m³. The total moment is 0.000 μB per atom.



Relative to the most stable one, in eV/atom, the structures come out at arrangement one 0.191; arrangement two 0.000.



Arrangement one

Na3AsP after structural relaxation. Source: Alexandria, functional PBE-GGA.

The structure belongs to space group Pm-3m (No. 221); the cell edges are 5.410, 5.410 and 5.410 Å and the angles 90.00°, 90.00° and 90.00°. The inequivalent atoms are Na at (0.000, 0.000, 0.500), As at (0.500, 0.500, 0.500) and P at (0.000, 0.000, 0.000).

Its crystal system is cubic. For the calculated density, the calculation gives 1834 kg/m³. The total moment is 0.600 μB per atom.



Arrangement two

Na3AsP after structural relaxation. Source: Alexandria, functional PBE-GGA.

The structure belongs to space group P2_1/c (No. 14); the cell edges are 7.765, 5.759 and 10.840 Å and the angles 90.00°, 97.53° and 90.00°. The inequivalent atoms are Na at (0.040, 0.081, 0.346), Na at (0.305, 0.560, 0.397), Na at (0.387, 0.093, 0.620), As at (0.314, 0.609, 0.670) and P at (0.074, 0.119, 0.072).

Its crystal system is monoclinic. For the calculated density, the calculation gives 2417 kg/m³. The total moment is 0.000 μB per atom.



Relative to the most stable one, in eV/atom, the structures come out at arrangement one 0.516; arrangement two 0.000.



Arrangement one

NaAsP3 after structural relaxation. Source: Alexandria, functional PBE-GGA.

The structure belongs to space group Pm-3m (No. 221); the cell edges are 4.836, 4.836 and 4.836 Å and the angles 90.00°, 90.00° and 90.00°. The inequivalent atoms are Na at (0.000, 0.000, 0.000), As at (0.500, 0.500, 0.500) and P at (0.000, 0.500, 0.500).

Its crystal system is cubic. For the calculated density, the calculation gives 2801 kg/m³. The total moment is 0.000 μB per atom.



Arrangement two

NaAsP3 after structural relaxation. Source: Alexandria, functional PBE-GGA.

The structure belongs to space group Pm-3m (No. 221); the cell edges are 4.794, 4.794 and 4.794 Å and the angles 90.00°, 90.00° and 90.00°. The inequivalent atoms are Na at (0.000, 0.000, 0.000), As at (0.500, 0.500, 0.500) and P at (0.000, 0.000, 0.500).

Its crystal system is cubic. For the calculated density, the calculation gives 2876 kg/m³. The total moment is 0.000 μB per atom.



Relative to the most stable one, in eV/atom, the structures come out at arrangement one 0.000; arrangement two 0.915.



Arrangement one

Na2AsP after structural relaxation. Source: Alexandria, functional PBE-GGA.

The structure belongs to space group I-42d (No. 122); the cell edges are 10.822, 10.822 and 4.841 Å and the angles 90.00°, 90.00° and 90.00°. The inequivalent atoms are Na at (0.005, 0.250, 0.125), As at (0.000, 0.000, 0.500) and P at (0.000, 0.000, 0.000).

Its crystal system is tetragonal. For the calculated density, the calculation gives 1779 kg/m³. The total moment is 0.000 μB per atom.



Arrangement two

Na2AsP after structural relaxation. Source: Alexandria, functional PBE-GGA.

The structure belongs to space group Fm-3m (No. 225); the cell edges are 6.880, 6.880 and 6.880 Å and the angles 90.00°, 90.00° and 90.00°. The inequivalent atoms are Na at (0.250, 0.250, 0.250), As at (0.000, 0.000, 0.000) and P at (0.000, 0.000, 0.500).

Its crystal system is cubic. For the calculated density, the calculation gives 3097 kg/m³. The total moment is 0.000 μB per atom.



Relative to the most stable one, in eV/atom, the structures come out at arrangement one 0.000; arrangement two 0.063.



Arrangement one

Na2AsP after structural relaxation. Source: Alexandria, functional PBE-GGA.

The structure belongs to space group Imm2 (No. 44); the cell edges are 3.521, 9.166 and 5.747 Å and the angles 90.00°, 90.00° and 90.00°. The inequivalent atoms are Na at (0.000, 0.207, 0.000), As at (0.000, 0.500, 0.794) and P at (0.000, 0.000, 0.576).

Its crystal system is orthorhombic. For the calculated density, the calculation gives 2720 kg/m³. The total moment is 0.000 μB per atom.



Arrangement two

Na2AsP after structural relaxation. Source: Alexandria, functional PBE-GGA.

The structure belongs to space group P2_1/m (No. 11); the cell edges are 5.723, 3.814 and 8.725 Å and the angles 90.00°, 102.39° and 90.00°. The inequivalent atoms are Na at (0.197, 0.250, 0.427), Na at (0.285, 0.750, 0.065), As at (0.358, 0.750, 0.715) and P at (0.146, 0.250, 0.786).

Its crystal system is monoclinic. For the calculated density, the calculation gives 2711 kg/m³. The total moment is 0.000 μB per atom.



Relative to the most stable one, in eV/atom, the structures come out at arrangement one 0.039; arrangement two 0.000.



Arrangement one

Na2AsP2 after structural relaxation. Source: Alexandria, functional PBE-GGA.

The structure belongs to space group P4/mbm (No. 127); the cell edges are 6.750, 6.750 and 4.482 Å and the angles 90.00°, 90.00° and 90.00°. The inequivalent atoms are Na at (0.183, 0.317, 0.000), As at (0.000, 0.000, 0.500) and P at (0.115, 0.615, 0.500).

Its crystal system is tetragonal. For the calculated density, the calculation gives 2974 kg/m³. The total moment is 0.000 μB per atom.



Arrangement two

Na2AsP2 after structural relaxation. Source: Alexandria, functional PBE-GGA.

The structure belongs to space group P4/mmm (No. 123); the cell edges are 4.969, 4.969 and 4.515 Å and the angles 90.00°, 90.00° and 90.00°. The inequivalent atoms are Na at (0.000, 0.000, 0.000), Na at (0.000, 0.000, 0.500), As at (0.500, 0.500, 0.000) and P at (0.000, 0.500, 0.500).

Its crystal system is tetragonal. For the calculated density, the calculation gives 2723 kg/m³. The total moment is 0.000 μB per atom.



Relative to the most stable one, in eV/atom, the structures come out at arrangement one 0.000; arrangement two 1.076.



Arrangement one

NaAsPSe2 after structural relaxation. Source: Alexandria, functional PBE-GGA.

The structure belongs to space group P4/mmm (No. 123); the cell edges are 5.088, 5.088 and 4.690 Å and the angles 90.00°, 90.00° and 90.00°. The inequivalent atoms are Na at (0.000, 0.000, 0.000), As at (0.500, 0.500, 0.000), P at (0.500, 0.500, 0.500) and Se at (0.000, 0.500, 0.500).

Its crystal system is tetragonal. For the calculated density, the calculation gives 3923 kg/m³. The total moment is 0.000 μB per atom.



Arrangement two

NaAsPSe2 after structural relaxation. Source: Alexandria, functional PBE-GGA.

The structure belongs to space group P4/mmm (No. 123); the cell edges are 5.006, 5.006 and 5.015 Å and the angles 90.00°, 90.00° and 90.00°. The inequivalent atoms are Na at (0.000, 0.000, 0.000), As at (0.000, 0.000, 0.500), P at (0.500, 0.500, 0.500) and Se at (0.000, 0.500, 0.000).

Its crystal system is tetragonal. For the calculated density, the calculation gives 3789 kg/m³. The total moment is 0.000 μB per atom.



Relative to the most stable one, in eV/atom, the structures come out at arrangement one 0.000; arrangement two 1.115.